A plane-wave DFT calculation with PBE was carried out for PmZn9Pd2 after structural relaxation.

POSCAR file:
```
PmZn9Pd2
1.0
-5.3040 5.3040 3.4725
5.3040 -5.3040 3.4725
5.3040 5.3040 -3.4725
Pm Zn Pd
2 18 4
Direct
0.3750 0.6250 0.7500 Pm
0.6250 0.3750 0.2500 Pm
0.1250 0.8750 0.2500 Zn
0.1337 0.5561 0.3352 Zn
0.1337 0.7986 0.5777 Zn
0.2014 0.2791 0.3352 Zn
0.2014 0.8663 0.9223 Zn
0.2791 0.2014 0.8352 Zn
0.2791 0.4439 0.0777 Zn
0.4439 0.2791 0.5777 Zn
0.4439 0.8663 0.1648 Zn
0.5561 0.1337 0.8352 Zn
0.5561 0.7209 0.4223 Zn
0.7209 0.5561 0.9223 Zn
0.7209 0.7986 0.1648 Zn
0.7986 0.1337 0.0777 Zn
0.7986 0.7209 0.6648 Zn
0.8663 0.2014 0.4223 Zn
0.8663 0.4439 0.6648 Zn
0.8750 0.1250 0.7500 Zn
0.0000 0.0000 0.0000 Pd
0.0000 0.0000 0.5000 Pd
0.0000 0.5000 0.0000 Pd
0.5000 0.0000 0.5000 Pd
```

Calculated values
For the total energy, the calculation gives -2.5887 eV/atom. The formation energy comes out at -372 meV per atom.